Record 1
A PBEsol-optimized structure of TlHg2Cl, computed with meta-GGA SCAN.

Computed properties:
Excess energy over the best structure of this formula in the dataset in eV/atom: 0.0085
Calculated volume in A^3/atom: 26.91

Unit cell a=3.8742 b=3.8742 c=7.1716 alpha=90.00 beta=90.00 gamma=90.00
With the nearest neighbours (Å) after each atom.
Positions (direct):
Tl 0.0000 0.0000 0.5372  4 Cl 3.05
Hg 0.0000 0.0000 0.0164  4 Hg 3.11, 1 Tl 3.44, 4 Cl 3.45
Cl 0.5000 0.5000 0.7248  4 Tl 3.05
Hg 0.5000 0.5000 0.2216  4 Hg 3.11

***

Record 2
A PBEsol-optimized structure of TlHgCl4, computed with meta-GGA SCAN.

Computed properties:
Calculated volume in A^3/atom: 24.29

Unit cell a=5.9067 b=5.9067 c=5.9067 alpha=60.00 beta=60.00 gamma=60.00
With the nearest neighbours (Å) after each atom.
Positions (direct):
Cl 0.3764 0.8709 0.3764  6 Cl 2.92-2.99
Tl 0.0000 0.0000 0.0000  12 Cl 3.47, 4 Hg 3.62
Hg 0.7500 0.7500 0.7500  12 Cl 3.46, 4 Tl 3.62
Cl 0.8709 0.3764 0.3764  6 Cl 2.92-2.99
Cl 0.3764 0.3764 0.3764  6 Cl 2.92-2.99
Cl 0.3764 0.3764 0.8709  6 Cl 2.92-2.99

***

Record 3
A PBEsol-optimized structure of TlHg2Cl, computed with meta-GGA SCAN.

Computed properties:
Excess energy over the best structure of this formula in the dataset in eV/atom: 0.0066
Calculated volume in A^3/atom: 26.16

Unit cell a=4.1682 b=4.4367 c=6.4249 alpha=110.20 beta=108.93 gamma=90.00
With the nearest neighbours (Å) after each atom.
Positions (direct):
Hg 0.2480 0.2480 0.4961  4 Hg 3.04
Cl 0.0000 0.5000 0.0000  4 Tl 3.04
Hg 0.7520 0.7520 0.5039  4 Hg 3.04
Tl 0.5000 0.0000 0.0000  4 Cl 3.04

***

Sequential calculated density output: 9.9; 6.2; 10.2 Mg/m³
Sequential energy output: -54.631; -28.701; -54.633 eV per atom
Sequential E_form (uncorrected) output: -0.464; 0.039; -0.466 eV per atom